The following is a PBE+U calculation of a relaxed Ce6MoO12 crystal, from Alexandria via LeMat-Bulk.

Cell and atoms, written as CIF:
```
data_Ce6MoO12
_chemical_formula_sum 'Ce6 Mo1 O12'
_symmetry_space_group_name_H-M 'P 1'
_symmetry_Int_Tables_number 1
_cell_length_a 6.6926
_cell_length_b 6.6926
_cell_length_c 6.6926
_cell_angle_alpha 99.33
_cell_angle_beta 99.33
_cell_angle_gamma 99.33
loop_
_symmetry_equiv_pos_as_xyz
'x,y,z'
loop_
_atom_site_label
_atom_site_type_symbol
_atom_site_fract_x
_atom_site_fract_y
_atom_site_fract_z
_atom_site_occupancy
Ce1 Ce 0.2919 0.6000 0.1350 1
Ce2 Ce 0.4000 0.8650 0.7081 1
O1 O 0.5651 0.8230 0.4135 1
Mo1 Mo 0.0000 0.0000 0.0000 1
O2 O 0.0658 0.3125 0.9366 1
Ce3 Ce 0.6000 0.1350 0.2919 1
O3 O 0.6875 0.0634 0.9342 1
O4 O 0.8230 0.4135 0.5651 1
O5 O 0.0634 0.9342 0.6875 1
O6 O 0.4349 0.1770 0.5865 1
O7 O 0.9366 0.0658 0.3125 1
O8 O 0.9342 0.6875 0.0634 1
O9 O 0.5865 0.4349 0.1770 1
O10 O 0.3125 0.9366 0.0658 1
O11 O 0.4135 0.5651 0.8230 1
Ce4 Ce 0.1350 0.2919 0.6000 1
Ce5 Ce 0.7081 0.4000 0.8650 1
Ce6 Ce 0.8650 0.7081 0.4000 1
O12 O 0.1770 0.5865 0.4349 1
```

## Properties
space group = No. 148
calculated volume = 15.1 Å³ per atom
raw total energy = -8.6160 eV per atom
total moment = 6.144 Bohr magnetons per cell